# 1
Density functional theory data (PBE) for an optimized crystal structure of CaTa2Re.

Calculated values
ΔE to the lowest computed polymorph   0.188 eV/atom
Crystal system   tetragonal

Structure (POSCAR):
```
CaTa2Re
1.0
2.7972 0.0000 0.0000
0.0000 2.7972 0.0000
0.0000 0.0000 9.9385
Ta Ca Re
2 1 1
direct
0.0000 0.0000 0.9930 Ta
0.5000 0.5000 0.2221 Ta
0.0000 0.0000 0.5175 Ca
0.5000 0.5000 0.7675 Re
```



# 2
Density functional theory data (PBE) for an optimized crystal structure of Cr4As3.

Calculated values
ΔE to the lowest computed polymorph   0.177 eV/atom
Crystal system   tetragonal

Structure (POSCAR):
```
Cr4As3
1.0
-7.6770 -8.2596 2.9720
-8.4075 -5.4196 5.9944
6.5861 7.7565 -5.6966
As Cr
3 4
direct
0.6835 0.6835 0.0000 As
0.0000 0.0000 0.0000 As
0.3165 0.3165 0.0000 As
0.8820 0.8820 0.0000 Cr
0.5621 0.5621 0.0000 Cr
0.1180 0.1180 0.0000 Cr
0.4379 0.4379 0.0000 Cr
```



# 3
Density functional theory data (PBE) for an optimized crystal structure of LiCuPO4.

Calculated values
ΔE to the lowest computed polymorph   0.022 eV/atom
Crystal system   orthorhombic
ΔE_f (raw)   -1.785 eV per atom

Structure (POSCAR):
```
LiCuPO4
1.0
-0.7189 4.8752 0.2873
-2.7197 -0.0208 -6.4522
-8.9933 -1.5498 3.7958
O Cu P Li
16 4 4 4
direct
0.6293 0.0564 0.8533 O
0.2078 0.7632 0.4389 O
0.0627 0.2438 0.8718 O
0.2078 0.7368 0.9389 O
0.6267 0.0752 0.3375 O
0.1267 0.9248 0.6625 O
0.6293 0.4436 0.3533 O
0.7078 0.2368 0.5611 O
0.1293 0.9436 0.1467 O
0.0627 0.2562 0.3718 O
0.1267 0.5752 0.1625 O
0.5627 0.7562 0.1282 O
0.7078 0.2632 0.0611 O
0.1293 0.5564 0.6467 O
0.5627 0.7438 0.6282 O
0.6267 0.4248 0.8375 O
0.7241 0.4910 0.6436 Cu
0.7241 0.0090 0.1436 Cu
0.2241 0.9910 0.8564 Cu
0.2241 0.5090 0.3564 Cu
0.7537 0.2472 0.9054 P
0.2537 0.7528 0.0946 P
0.2537 0.7472 0.5946 P
0.7537 0.2528 0.4054 P
0.2416 0.4913 0.8375 Li
0.2416 0.0087 0.3375 Li
0.7416 0.9913 0.6625 Li
0.7416 0.5087 0.1625 Li
```



# 4
Density functional theory data (PBE) for an optimized crystal structure of SrFeAg.

Calculated values
Total DFT energy (no corrections)   -3.993 eV/atom
Crystal system   hexagonal

Structure (POSCAR):
```
SrFeAg
1.0
-2.0409 -3.9511 -0.5136
3.3770 1.1436 -2.7071
2.8789 -1.8521 2.8089
Fe Sr Ag
1 1 1
direct
0.6667 0.3333 0.1666 Fe
0.3333 0.6667 0.6666 Sr
0.0000 0.0000 0.1668 Ag
```



# 5
Density functional theory data (PBE) for an optimized crystal structure of BaCa3Rh.

Calculated values
ΔE to the lowest computed polymorph   0.250 eV/atom
Crystal system   hexagonal

Structure (POSCAR):
```
BaCa3Rh
1.0
-1.6760 1.6570 -5.1892
-3.6086 -2.8150 3.3964
-3.6716 9.9842 4.3740
Ba Ca Rh
2 6 2
direct
0.3333 0.6667 0.7500 Ba
0.6667 0.3333 0.2500 Ba
0.3333 0.6667 0.4327 Ca
0.6667 0.3333 0.5673 Ca
0.0000 0.0000 0.7500 Ca
0.6667 0.3333 0.9327 Ca
0.0000 0.0000 0.2500 Ca
0.3333 0.6667 0.0673 Ca
0.0000 0.0000 0.0000 Rh
0.0000 0.0000 0.5000 Rh
```



# 6
Density functional theory data (PBE) for an optimized crystal structure of PrCuSb.

Calculated values
Crystal system   trigonal
ΔE_f (raw)   -0.745 eV per atom

Structure (POSCAR):
```
PrCuSb
1.0
-2.2427 3.1480 -1.9384
-3.7212 -2.2837 0.5966
1.3501 2.8545 3.0737
Pr Sb Cu
1 1 1
direct
0.6673 0.6667 0.3333 Pr
0.1676 0.3333 0.6667 Sb
0.1651 0.0000 0.0000 Cu
```



no.,density of states at the Fermi level (states/eV/cell),V (Å³/f.u.)
1,4.76,77.76
2,4.15,101.70
3,10.06,85.41
4,3.48,76.85
5,14.64,161.78
6,1.96,72.72